No. 1
The following is a PBE-GGA calculation of SrSn3Au3 after structural relaxation, from Alexandria via LeMat-Bulk.

## Properties
Its energy above the most stable polymorph in this dataset is 183 meV/atom.

Geometry as CIF:
```
data_SrSn3Au3
_cell_length_a 7.616
_cell_length_b 7.616
_cell_length_c 7.616
_cell_angle_alpha 90.00
_cell_angle_beta 90.00
_cell_angle_gamma 90.00
_symmetry_space_group_name_H-M 'P m -3 n'
_symmetry_Int_Tables_number 223
_symmetry_space_group_name_Hall '-P 4n 2 3'
loop_
_atom_site_label
_atom_site_fract_x
_atom_site_fract_y
_atom_site_fract_z
Sr1 0.000 0.000 0.000
Sn1 0.000 0.250 0.500
Au1 0.000 0.500 0.250
```



No. 2
The following is a PBE-GGA calculation of Sr2Sn3Au4 after structural relaxation, from Alexandria via LeMat-Bulk.

Geometry as CIF:
```
data_Sr2Sn3Au4
_cell_length_a 6.543
_cell_length_b 16.717
_cell_length_c 8.242
_cell_angle_alpha 90.00
_cell_angle_beta 90.00
_cell_angle_gamma 90.00
_symmetry_space_group_name_H-M 'C m c e'
_symmetry_Int_Tables_number 64
_symmetry_space_group_name_Hall '-C 2ac 2'
loop_
_atom_site_label
_atom_site_fract_x
_atom_site_fract_y
_atom_site_fract_z
Sr1 0.000 0.107 0.090
Sn1 0.000 0.000 0.500
Sn2 0.250 0.225 0.750
Au1 0.000 0.179 0.467
Au2 0.250 0.055 0.750
```



No. 3
The following is a PBE-GGA calculation of SrSn8Au2 after structural relaxation, from Alexandria via LeMat-Bulk.

Geometry as CIF:
```
data_SrSn8Au2
_cell_length_a 6.435
_cell_length_b 6.435
_cell_length_c 8.667
_cell_angle_alpha 90.00
_cell_angle_beta 90.00
_cell_angle_gamma 90.00
_symmetry_space_group_name_H-M 'P 4/m m m'
_symmetry_Int_Tables_number 123
_symmetry_space_group_name_Hall '-P 4 2'
loop_
_atom_site_label
_atom_site_fract_x
_atom_site_fract_y
_atom_site_fract_z
Sr1 0.000 0.000 0.000
Sn1 0.257 0.257 0.294
Au1 0.000 0.500 0.500
```



No. 4
The following is a PBE-GGA calculation of Sr3SnAu3 after structural relaxation, from Alexandria via LeMat-Bulk.

Geometry as CIF:
```
data_Sr3SnAu3
_cell_length_a 11.958
_cell_length_b 4.604
_cell_length_c 15.803
_cell_angle_alpha 90.00
_cell_angle_beta 109.76
_cell_angle_gamma 90.00
_symmetry_space_group_name_H-M 'C 1 2/m 1'
_symmetry_Int_Tables_number 12
_symmetry_space_group_name_Hall '-C 2y'
loop_
_atom_site_label
_atom_site_fract_x
_atom_site_fract_y
_atom_site_fract_z
Sr1 0.022 0.000 0.384
Sr2 0.106 0.000 0.923
Sr3 0.241 0.000 0.229
Sn1 0.238 0.500 0.400
Au1 0.024 0.500 0.230
Au2 0.112 0.500 0.077
Au3 0.128 0.500 0.542
```



No. 5
The following is a PBE-GGA calculation of Sr2SnAu9 after structural relaxation, from Alexandria via LeMat-Bulk.

Geometry as CIF:
```
data_Sr2SnAu9
_cell_length_a 5.7363
_cell_length_b 5.7363
_cell_length_c 28.0924
_cell_angle_alpha 90.00
_cell_angle_beta 90.00
_cell_angle_gamma 120.00
_symmetry_space_group_name_H-M 'R -3 m'
_symmetry_Int_Tables_number 166
_symmetry_space_group_name_Hall '-R 3 2"'
loop_
_atom_site_label
_atom_site_fract_x
_atom_site_fract_y
_atom_site_fract_z
Sr1 0.0000 0.0000 0.1361
Sn1 0.0000 0.0000 0.0000
Au1 0.0000 0.0000 0.3331
Au2 0.0000 0.0000 0.5000
Au3 0.0042 0.5021 0.9159
```



No. 6
The following is a PBE-GGA calculation of Sr5Sn5Au2 after structural relaxation, from Alexandria via LeMat-Bulk.

Geometry as CIF:
```
data_Sr5Sn5Au2
_cell_length_a 16.825
_cell_length_b 4.988
_cell_length_c 11.018
_cell_angle_alpha 90.00
_cell_angle_beta 127.44
_cell_angle_gamma 90.00
_symmetry_space_group_name_H-M 'C 1 2/m 1'
_symmetry_Int_Tables_number 12
_symmetry_space_group_name_Hall '-C 2y'
loop_
_atom_site_label
_atom_site_fract_x
_atom_site_fract_y
_atom_site_fract_z
Sr1 0.000 0.000 0.000
Sr2 0.128 0.000 0.434
Sr3 0.174 0.000 0.840
Sn1 0.000 0.500 0.500
Sn2 0.034 0.500 0.820
Sn3 0.245 0.500 0.729
Au1 0.155 0.500 0.237
```



| no. | electronic total energy (eV per atom) |
| --- | --- |
| 1 | -3.56 |
| 2 | -3.70 |
| 3 | -3.74 |
| 4 | -3.41 |
| 5 | -3.41 |
| 6 | -3.55 |